Entry from Alexandria via LeMat-Bulk: crystalline CoCl6 at its relaxed geometry (PBE).

Summary:
Formation energy (no corrections) ... -0.111 eV per atom
E ... -2.71 eV/atom

```
CoCl6
1.0
3.792 -5.023 0.000
3.792 5.023 0.000
0.000 0.000 7.812
Cl Co
6 1
direct
0.131 0.387 0.000 Cl
0.000 0.000 0.725 Cl
0.869 0.613 0.000 Cl
0.000 0.000 0.275 Cl
0.387 0.131 0.000 Cl
0.613 0.869 0.000 Cl
0.000 0.000 0.000 Co
```